A | LiSi2F8: optimized geometry, GGA-PBE. Values from VASP.

```
&SYSTEM
  ibrav = 0, nat = 11, ntyp = 3
/
ATOMIC_SPECIES
Li 6.94 Li.upf
Si 28.09 Si.upf
F 19.00 F.upf
CELL_PARAMETERS angstrom
-1.597 -3.498 3.478
5.098 -0.016 3.283
0.688 3.563 4.857
ATOMIC_POSITIONS crystal
Li 0.000 0.000 0.000
Si 0.642 0.806 0.806
Si 0.358 0.194 0.194
F 0.211 0.334 0.923
F 0.789 0.077 0.666
F 0.344 0.882 0.882
F 0.656 0.118 0.118
F 0.211 0.923 0.334
F 0.789 0.666 0.077
F 0.742 0.656 0.656
F 0.258 0.344 0.344
```

Values from the calculation:
- DOS at the Fermi energy (states/eV per atom) = 0.18
- space-group type = C2/m



B | LiSi2F8: optimized geometry, GGA-PBE. Values from VASP.

```
&SYSTEM
  ibrav = 0, nat = 11, ntyp = 3
/
ATOMIC_SPECIES
Li 6.94 Li.upf
Si 28.09 Si.upf
F 19.00 F.upf
CELL_PARAMETERS angstrom
-2.722 -0.308 4.055
3.582 -4.361 2.073
1.222 5.755 1.257
ATOMIC_POSITIONS crystal
Li 0.000 0.000 0.000
Si 0.309 0.333 0.667
Si 0.691 0.667 0.333
F 0.361 0.667 0.333
F 0.639 0.333 0.667
F 0.787 0.817 0.183
F 0.213 0.183 0.366
F 0.213 0.634 0.817
F 0.213 0.183 0.817
F 0.787 0.817 0.634
F 0.787 0.366 0.183
```

Values from the calculation:
- DOS at the Fermi energy (states/eV per atom) = 0.20
- space-group type = C2/m



Computed stability ranking, most favorable first: B, A



A | LiSn2F: optimized geometry, GGA-PBE. Values from VASP.

```
&SYSTEM
  ibrav = 0, nat = 4, ntyp = 3
/
ATOMIC_SPECIES
Li 6.94 Li.upf
Sn 118.71 Sn.upf
F 19.00 F.upf
CELL_PARAMETERS angstrom
0.000 3.366 3.366
3.366 0.000 3.366
3.366 3.366 0.000
ATOMIC_POSITIONS crystal
Li 0.000 0.000 0.000
Sn 0.250 0.250 0.250
Sn 0.750 0.750 0.750
F 0.500 0.500 0.500
```

Values from the calculation:
- DOS at the Fermi energy (states/eV per atom) = 0.62
- space-group type = Fm-3m



B | LiSn2F: optimized geometry, GGA-PBE. Values from VASP.

```
&SYSTEM
  ibrav = 0, nat = 8, ntyp = 3
/
ATOMIC_SPECIES
Li 6.94 Li.upf
Sn 118.71 Sn.upf
F 19.00 F.upf
CELL_PARAMETERS angstrom
-1.527 -0.414 -3.769
-3.604 -1.105 1.581
-5.750 9.812 -0.965
ATOMIC_POSITIONS crystal
Li 0.500 0.500 0.000
Li 0.250 0.750 0.500
Sn 0.626 0.125 0.250
Sn 0.124 0.625 0.250
Sn 0.375 0.374 0.750
Sn 0.875 0.876 0.750
F 0.000 0.000 0.000
F 0.750 0.250 0.500
```

Values from the calculation:
- DOS at the Fermi energy (states/eV per atom) = 0.46
- space-group type = I-42d



Computed stability ranking, most favorable first: B, A



A | Li2SnF: optimized geometry, GGA-PBE. Values from VASP.

```
&SYSTEM
  ibrav = 0, nat = 8, ntyp = 3
/
ATOMIC_SPECIES
Li 6.94 Li.upf
Sn 118.71 Sn.upf
F 19.00 F.upf
CELL_PARAMETERS angstrom
5.904 0.000 0.000
0.000 5.904 0.000
2.952 2.952 4.058
ATOMIC_POSITIONS crystal
Li 0.452 0.125 0.250
Li 0.298 0.625 0.250
Li 0.375 0.548 0.750
Li 0.875 0.702 0.750
Sn 0.000 0.000 0.000
Sn 0.750 0.250 0.500
F 0.500 0.500 0.000
F 0.250 0.750 0.500
```

Values from the calculation:
- DOS at the Fermi energy (states/eV per atom) = 0.14
- space-group type = I-42d



B | Li2SnF: optimized geometry, GGA-PBE. Values from VASP.

```
&SYSTEM
  ibrav = 0, nat = 4, ntyp = 3
/
ATOMIC_SPECIES
Li 6.94 Li.upf
Sn 118.71 Sn.upf
F 19.00 F.upf
CELL_PARAMETERS angstrom
-1.439 -2.538 -0.192
2.544 -1.442 -0.003
-0.226 -0.415 7.171
ATOMIC_POSITIONS crystal
Li 0.000 0.000 0.822
Li 0.000 0.000 0.178
Sn 0.500 0.500 0.500
F 0.500 0.500 0.000
```

Values from the calculation:
- DOS at the Fermi energy (states/eV per atom) = 0.21
- space-group type = P4/mmm



Computed stability ranking, most favorable first: A, B



A | Li2SnF: optimized geometry, GGA-PBE. Values from VASP.

```
&SYSTEM
  ibrav = 0, nat = 4, ntyp = 3
/
ATOMIC_SPECIES
Li 6.94 Li.upf
Sn 118.71 Sn.upf
F 19.00 F.upf
CELL_PARAMETERS angstrom
0.000 3.321 3.321
3.321 0.000 3.321
3.321 3.321 0.000
ATOMIC_POSITIONS crystal
Li 0.250 0.250 0.250
Li 0.750 0.750 0.750
Sn 0.500 0.500 0.500
F 0.000 0.000 0.000
```

Values from the calculation:
- DOS at the Fermi energy (states/eV per atom) = 0.88
- space-group type = Fm-3m



B | Li2SnF: optimized geometry, GGA-PBE. Values from VASP.

```
&SYSTEM
  ibrav = 0, nat = 4, ntyp = 3
/
ATOMIC_SPECIES
Li 6.94 Li.upf
Sn 118.71 Sn.upf
F 19.00 F.upf
CELL_PARAMETERS angstrom
-0.818 -2.583 -1.648
1.873 -2.559 0.029
-3.147 -4.211 5.110
ATOMIC_POSITIONS crystal
Li 0.281 0.281 0.158
Li 0.719 0.719 0.842
Sn 0.500 0.500 0.500
F 0.000 0.000 0.000
```

Values from the calculation:
- DOS at the Fermi energy (states/eV per atom) = 0.36
- space-group type = R-3m



Computed stability ranking, most favorable first: B, A



A | LiSn3F: optimized geometry, GGA-PBE. Values from VASP.

```
&SYSTEM
  ibrav = 0, nat = 5, ntyp = 3
/
ATOMIC_SPECIES
Li 6.94 Li.upf
Sn 118.71 Sn.upf
F 19.00 F.upf
CELL_PARAMETERS angstrom
4.975 0.000 0.000
0.000 4.975 0.000
0.000 0.000 4.975
ATOMIC_POSITIONS crystal
Li 0.500 0.500 0.500
Sn 0.000 0.500 0.000
Sn 0.000 0.000 0.500
Sn 0.500 0.000 0.000
F 0.000 0.000 0.000
```

Values from the calculation:
- DOS at the Fermi energy (states/eV per atom) = 0.35
- space-group type = Pm-3m



B | LiSn3F: optimized geometry, GGA-PBE. Values from VASP.

```
&SYSTEM
  ibrav = 0, nat = 5, ntyp = 3
/
ATOMIC_SPECIES
Li 6.94 Li.upf
Sn 118.71 Sn.upf
F 19.00 F.upf
CELL_PARAMETERS angstrom
4.939 0.000 0.000
0.000 4.939 0.000
0.000 0.000 4.939
ATOMIC_POSITIONS crystal
Li 0.000 0.000 0.000
Sn 0.000 0.500 0.000
Sn 0.000 0.000 0.500
Sn 0.500 0.000 0.000
F 0.500 0.500 0.500
```

Values from the calculation:
- DOS at the Fermi energy (states/eV per atom) = 0.54
- space-group type = Pm-3m



Computed stability ranking, most favorable first: A, B



A | SrLi3F: optimized geometry, GGA-PBE. Values from VASP.

```
&SYSTEM
  ibrav = 0, nat = 5, ntyp = 3
/
ATOMIC_SPECIES
Sr 87.62 Sr.upf
Li 6.94 Li.upf
F 19.00 F.upf
CELL_PARAMETERS angstrom
6.707 0.000 0.000
0.000 6.707 0.000
0.000 0.000 6.707
ATOMIC_POSITIONS crystal
Sr 0.000 0.000 0.000
Li 0.000 0.500 0.000
Li 0.000 0.000 0.500
Li 0.500 0.000 0.000
F 0.500 0.500 0.500
```

Values from the calculation:
- DOS at the Fermi energy (states/eV per atom) = 0.65
- space-group type = Pm-3m



B | SrLi3F: optimized geometry, GGA-PBE. Values from VASP.

```
&SYSTEM
  ibrav = 0, nat = 5, ntyp = 3
/
ATOMIC_SPECIES
Sr 87.62 Sr.upf
Li 6.94 Li.upf
F 19.00 F.upf
CELL_PARAMETERS angstrom
4.899 0.000 0.000
0.000 4.899 0.000
0.000 0.000 4.899
ATOMIC_POSITIONS crystal
Sr 0.500 0.500 0.500
Li 0.000 0.500 0.000
Li 0.000 0.000 0.500
Li 0.500 0.000 0.000
F 0.000 0.000 0.000
```

Values from the calculation:
- DOS at the Fermi energy (states/eV per atom) = 0.93
- space-group type = Pm-3m



Computed stability ranking, most favorable first: B, A



A | Sr2LiF2: optimized geometry, GGA-PBE. Values from VASP.

```
&SYSTEM
  ibrav = 0, nat = 10, ntyp = 3
/
ATOMIC_SPECIES
Sr 87.62 Sr.upf
Li 6.94 Li.upf
F 19.00 F.upf
CELL_PARAMETERS angstrom
8.786 0.000 0.000
0.000 8.786 0.000
0.000 0.000 3.378
ATOMIC_POSITIONS crystal
Sr 0.366 0.866 0.000
Sr 0.866 0.634 0.000
Sr 0.634 0.134 0.000
Sr 0.134 0.366 0.000
Li 0.000 0.000 0.000
Li 0.500 0.500 0.000
F 0.096 0.596 0.500
F 0.596 0.904 0.500
F 0.904 0.404 0.500
F 0.404 0.096 0.500
```

Values from the calculation:
- DOS at the Fermi energy (states/eV per atom) = 0.37
- space-group type = P4/mbm



B | Sr2LiF2: optimized geometry, GGA-PBE. Values from VASP.

```
&SYSTEM
  ibrav = 0, nat = 5, ntyp = 3
/
ATOMIC_SPECIES
Sr 87.62 Sr.upf
Li 6.94 Li.upf
F 19.00 F.upf
CELL_PARAMETERS angstrom
4.253 0.000 0.000
0.000 4.253 0.000
2.126 2.126 7.120
ATOMIC_POSITIONS crystal
Sr 0.346 0.346 0.307
Sr 0.654 0.654 0.693
Li 0.000 0.000 0.000
F 0.750 0.250 0.500
F 0.250 0.750 0.500
```

Values from the calculation:
- DOS at the Fermi energy (states/eV per atom) = 0.56
- space-group type = I4/mmm



Computed stability ranking, most favorable first: B, A



A | LiTaF2: optimized geometry, GGA-PBE. Values from VASP.

```
&SYSTEM
  ibrav = 0, nat = 8, ntyp = 3
/
ATOMIC_SPECIES
F 19.00 F.upf
Li 6.94 Li.upf
Ta 180.95 Ta.upf
CELL_PARAMETERS angstrom
-3.384 3.553 -0.305
-2.820 -2.923 -2.770
-4.973 -1.169 1.934
ATOMIC_POSITIONS crystal
F 0.547 0.125 0.250
F 0.203 0.625 0.250
F 0.375 0.453 0.750
F 0.875 0.797 0.750
Li 0.500 0.500 0.000
Li 0.250 0.750 0.500
Ta 0.000 0.000 0.000
Ta 0.750 0.250 0.500
```

Values from the calculation:
- DOS at the Fermi energy (states/eV per atom) = 0.12
- space-group type = I-42d



B | LiTaF2: optimized geometry, GGA-PBE. Values from VASP.

```
&SYSTEM
  ibrav = 0, nat = 4, ntyp = 3
/
ATOMIC_SPECIES
F 19.00 F.upf
Li 6.94 Li.upf
Ta 180.95 Ta.upf
CELL_PARAMETERS angstrom
-5.855 -2.351 2.029
-4.354 -4.784 1.444
-4.006 -3.435 4.009
ATOMIC_POSITIONS crystal
F 0.891 0.891 0.891
F 0.109 0.109 0.109
Li 0.500 0.500 0.500
Ta 0.000 0.000 0.000
```

Values from the calculation:
- DOS at the Fermi energy (states/eV per atom) = 0.41
- space-group type = R-3m



Computed stability ranking, most favorable first: B, A



A | LiTb2F8: optimized geometry, GGA-PBE. Values from VASP.

```
&SYSTEM
  ibrav = 0, nat = 11, ntyp = 3
/
ATOMIC_SPECIES
Li 6.94 Li.upf
Tb 158.93 Tb.upf
F 19.00 F.upf
CELL_PARAMETERS angstrom
3.836 0.000 0.000
0.000 5.442 -0.329
-1.918 -2.717 6.438
ATOMIC_POSITIONS crystal
Li 0.500 0.000 0.000
Tb 0.835 0.336 0.670
Tb 0.165 0.664 0.330
F 0.405 0.597 0.811
F 0.675 0.943 0.350
F 0.784 0.678 0.568
F 0.975 0.234 0.951
F 0.216 0.322 0.432
F 0.325 0.057 0.650
F 0.595 0.403 0.189
F 0.025 0.766 0.049
```

Values from the calculation:
- DOS at the Fermi energy (states/eV per atom) = 0.44
- space-group type = C2/m



B | LiTb2F8: optimized geometry, GGA-PBE. Values from VASP.

```
&SYSTEM
  ibrav = 0, nat = 11, ntyp = 3
/
ATOMIC_SPECIES
Li 6.94 Li.upf
Tb 158.93 Tb.upf
F 19.00 F.upf
CELL_PARAMETERS angstrom
-2.776 -0.095 -2.867
5.178 -2.597 -2.149
-3.138 -5.147 3.210
ATOMIC_POSITIONS crystal
Li 0.500 0.000 0.000
Tb 0.726 0.452 0.737
Tb 0.274 0.548 0.263
F 0.451 0.902 0.255
F 0.727 0.454 0.093
F 0.811 0.623 0.466
F 0.929 0.858 0.882
F 0.189 0.377 0.534
F 0.273 0.546 0.907
F 0.549 0.098 0.745
F 0.071 0.142 0.118
```

Values from the calculation:
- space-group type = C2/m



Computed stability ranking, most favorable first: A, B



A | LiTcF2: optimized geometry, GGA-PBE. Values from VASP.

```
&SYSTEM
  ibrav = 0, nat = 4, ntyp = 3
/
ATOMIC_SPECIES
Li 6.94 Li.upf
Tc 98.00 Tc.upf
F 19.00 F.upf
CELL_PARAMETERS angstrom
2.665 5.945 3.839
4.969 4.629 3.327
3.923 6.294 1.474
ATOMIC_POSITIONS crystal
Li 0.000 0.000 0.000
Tc 0.500 0.500 0.500
F 0.924 0.924 0.924
F 0.076 0.076 0.076
```

Values from the calculation:
- DOS at the Fermi energy (states/eV per atom) = 0.53
- space-group type = R-3m



B | LiTcF2: optimized geometry, GGA-PBE. Values from VASP.

```
&SYSTEM
  ibrav = 0, nat = 4, ntyp = 3
/
ATOMIC_SPECIES
Li 6.94 Li.upf
Tc 98.00 Tc.upf
F 19.00 F.upf
CELL_PARAMETERS angstrom
-1.860 -2.927 -1.914
-3.303 -1.574 1.518
-3.495 0.676 -1.736
ATOMIC_POSITIONS crystal
Li 0.000 0.000 0.000
Tc 0.500 0.500 0.500
F 0.250 0.250 0.250
F 0.750 0.750 0.750
```

Values from the calculation:
- DOS at the Fermi energy (states/eV per atom) = 1.08
- space-group type = Fm-3m



Computed stability ranking, most favorable first: A, B



A | LiTc2F: optimized geometry, GGA-PBE. Values from VASP.

```
&SYSTEM
  ibrav = 0, nat = 4, ntyp = 3
/
ATOMIC_SPECIES
Li 6.94 Li.upf
Tc 98.00 Tc.upf
F 19.00 F.upf
CELL_PARAMETERS angstrom
3.679 1.658 0.817
0.868 1.309 3.806
2.716 -2.055 2.314
ATOMIC_POSITIONS crystal
Li 0.000 0.000 0.000
Tc 0.250 0.250 0.250
Tc 0.750 0.750 0.750
F 0.500 0.500 0.500
```

Values from the calculation:
- DOS at the Fermi energy (states/eV per atom) = 1.36
- space-group type = Fm-3m



B | LiTc2F: optimized geometry, GGA-PBE. Values from VASP.

```
&SYSTEM
  ibrav = 0, nat = 8, ntyp = 3
/
ATOMIC_SPECIES
Li 6.94 Li.upf
Tc 98.00 Tc.upf
F 19.00 F.upf
CELL_PARAMETERS angstrom
-3.642 -1.141 -7.078
-7.022 -1.033 3.780
-5.667 0.739 -1.771
ATOMIC_POSITIONS crystal
Li 0.500 0.500 0.000
Li 0.250 0.750 0.500
Tc 0.707 0.125 0.250
Tc 0.043 0.625 0.250
Tc 0.375 0.293 0.750
Tc 0.875 0.957 0.750
F 0.000 0.000 0.000
F 0.750 0.250 0.500
```

Values from the calculation:
- DOS at the Fermi energy (states/eV per atom) = 0.99
- space-group type = I-42d



Computed stability ranking, most favorable first: B, A



A | LiTc2F8: optimized geometry, GGA-PBE. Values from VASP.

```
&SYSTEM
  ibrav = 0, nat = 11, ntyp = 3
/
ATOMIC_SPECIES
Li 6.94 Li.upf
Tc 98.00 Tc.upf
F 19.00 F.upf
CELL_PARAMETERS angstrom
-0.130 4.091 -0.700
-3.287 -1.047 -5.503
-3.202 0.855 5.588
ATOMIC_POSITIONS crystal
Li 0.000 0.000 0.000
Tc 0.248 0.333 0.667
Tc 0.752 0.667 0.333
F 0.253 0.667 0.333
F 0.747 0.333 0.667
F 0.755 0.834 0.164
F 0.245 0.165 0.330
F 0.245 0.670 0.834
F 0.245 0.166 0.836
F 0.755 0.835 0.670
F 0.755 0.330 0.166
```

Values from the calculation:
- DOS at the Fermi energy (states/eV per atom) = 0.48
- space-group type = P-3



B | LiTc2F8: optimized geometry, GGA-PBE. Values from VASP.

```
&SYSTEM
  ibrav = 0, nat = 11, ntyp = 3
/
ATOMIC_SPECIES
Li 6.94 Li.upf
Tc 98.00 Tc.upf
F 19.00 F.upf
CELL_PARAMETERS angstrom
-3.582 -2.191 -2.809
4.160 -4.000 -1.033
0.596 -4.403 3.826
ATOMIC_POSITIONS crystal
Li 0.000 0.000 0.000
Tc 0.494 0.744 0.744
Tc 0.506 0.256 0.256
F 0.289 0.383 0.904
F 0.711 0.096 0.617
F 0.236 0.874 0.874
F 0.764 0.126 0.126
F 0.289 0.904 0.383
F 0.711 0.617 0.096
F 0.746 0.620 0.620
F 0.254 0.380 0.380
```

Values from the calculation:
- DOS at the Fermi energy (states/eV per atom) = 0.16
- space-group type = C2/m



Computed stability ranking, most favorable first: B, A